# 1
Density functional theory data (GGA+U) for a geometry-optimized Ba2FeBiO5 structure.

Cell lengths 7.624, 7.624, 12.137 Å; angles 90.00, 90.00, 152.40 degrees
Fractional positions:
Ba1 0.093 0.907 0.500
Ba2 0.150 0.850 0.176
Ba3 0.850 0.150 0.676
Ba4 0.907 0.093 0.000
Fe1 0.457 0.543 0.258
Fe2 0.543 0.457 0.758
Bi1 0.199 0.801 0.892
Bi2 0.801 0.199 0.392
O1 0.015 0.985 0.818
O2 0.274 0.726 0.518
O3 0.328 0.672 0.258
O4 0.339 0.661 0.846
O5 0.493 0.507 0.617
O6 0.507 0.493 0.117
O7 0.661 0.339 0.346
O8 0.672 0.328 0.758
O9 0.726 0.274 0.018
O10 0.985 0.015 0.318

Values from the calculation:
Energy in eV/f.u.: -55.46
Space-group type: Cmc2_1

***

# 2
Density functional theory data (GGA+U) for a geometry-optimized BaFeBiO4 structure.

Cell lengths 6.478, 6.064, 7.493 Å; angles 90.00, 114.25, 90.00 degrees
Fractional positions:
Ba1 0.217 0.250 0.472
Ba2 0.783 0.750 0.528
Fe1 0.216 0.750 0.194
Fe2 0.784 0.250 0.806
Bi1 0.307 0.250 0.031
Bi2 0.693 0.750 0.969
O1 0.001 0.750 0.927
O2 0.030 0.750 0.329
O3 0.424 0.506 0.253
O4 0.424 0.994 0.253
O5 0.576 0.006 0.747
O6 0.576 0.494 0.747
O7 0.970 0.250 0.671
O8 0.999 0.250 0.073

Values from the calculation:
Energy in eV/f.u.: -43.33
Space-group type: P2_1/m

***

# 3
Density functional theory data (GGA+U) for a geometry-optimized Ba3Fe2BiO9 structure.

Cell lengths 5.843, 5.843, 7.187 Å; angles 90.00, 90.00, 120.00 degrees
Fractional positions:
Ba1 0.000 0.000 0.000
Ba2 0.333 0.667 0.673
Ba3 0.667 0.333 0.327
Fe1 0.333 0.667 0.155
Fe2 0.667 0.333 0.845
Bi1 0.000 0.000 0.500
O1 0.000 0.500 0.000
O2 0.172 0.343 0.327
O3 0.172 0.828 0.327
O4 0.343 0.172 0.673
O5 0.500 0.000 0.000
O6 0.500 0.500 0.000
O7 0.657 0.828 0.327
O8 0.828 0.172 0.673
O9 0.828 0.657 0.673

Values from the calculation:
Energy in eV/f.u.: -93.15
Space-group type: P-3m1